Record 1
Computed, not measured: a relaxed ScCr2MoAu crystal at the PBE-GGA level of DFT.

Cell: 4.6071 4.6071 4.8923 Å, 90.00 90.00 90.00°
With the nearest neighbours (Å) after each atom.
Fractional positions:
Sc (0.0000, 0.0000, 0.0000)  2 Au 2.45
Cr (0.0000, 0.5000, 0.5000)  2 Au 2.30
Cr (0.5000, 0.0000, 0.5000)  2 Au 2.30
Mo (0.5000, 0.5000, 0.0000)  4 Sc 3.26, 8 Cr 3.36
Au (0.0000, 0.0000, 0.5000)  4 Cr 2.30, 2 Sc 2.45

## Properties
Its formation enthalpy at 0 K is 9.30 eV/f.u. The crystal system is tetragonal.

***

Record 2
Computed, not measured: a relaxed CrSnMoAu2 crystal at the PBE-GGA level of DFT.

Cell: 4.9851 4.9851 4.2824 Å, 90.00 90.00 90.00°
With the nearest neighbours (Å) after each atom.
Fractional positions:
Cr (0.0000, 0.0000, 0.0000)  2 Mo 2.14
Sn (0.5000, 0.5000, 0.5000)  8 Au 3.29, 4 Mo 3.52
Mo (0.0000, 0.0000, 0.5000)  2 Cr 2.14
Au (0.0000, 0.5000, 0.0000)  2 Cr 2.49
Au (0.5000, 0.0000, 0.0000)  2 Cr 2.49

## Properties
Its formation enthalpy at 0 K is 4.46 eV/f.u. The crystal system is tetragonal.

***

Record 3
Computed, not measured: a relaxed CrAu2N crystal at the PBE-GGA level of DFT.

Cell: 6.3495 6.3495 6.3495 Å, 94.80 94.80 146.36°
With the nearest neighbours (Å) after each atom.
Fractional positions:
Cr (0.0000, 0.0000, 0.0000)  2 N 1.84
Cr (0.7500, 0.2500, 0.5000)  2 N 1.84
Au (0.2451, 0.1250, 0.6201)  2 N 2.46
Au (0.3750, 0.7549, 0.8799)  2 N 2.46
Au (0.5049, 0.6250, 0.3799)  2 N 2.46
Au (0.8750, 0.4951, 0.1201)  2 N 2.46
N (0.2500, 0.7500, 0.5000)  2 Cr 1.84
N (0.5000, 0.5000, 0.0000)  2 Cr 1.84

## Properties
The uncorrected formation energy is 546 meV/atom. The crystal system is tetragonal.

***

Record 4
Computed, not measured: a relaxed CrNi2AuN crystal at the PBE-GGA level of DFT.

Cell: 3.9191 3.9191 3.8335 Å, 90.00 90.00 90.00°
With the nearest neighbours (Å) after each atom.
Fractional positions:
Cr (0.0000, 0.0000, 0.0000)  2 N 1.92
Ni (0.0000, 0.5000, 0.5000)  2 N 1.96
Ni (0.5000, 0.0000, 0.5000)  2 N 1.96
Au (0.5000, 0.5000, 0.0000)  8 Ni 2.74, 4 Cr 2.77
N (0.0000, 0.0000, 0.5000)  2 Cr 1.92, 4 Ni 1.96

## Properties
The uncorrected formation energy is -105 meV/atom. The crystal system is tetragonal.